# 1
SrGeF | PBE | optimized geometry

a b c (Å): 4.1250 4.0566 8.0560
angles (deg): 90.00 102.28 90.00
Closest atoms and distances in Å follow each position.
Atoms (fractional coordinates):
Ge1 0.8876 0.7500 0.4154  2 Ge 2.51
Ge2 0.1124 0.2500 0.5846  2 Ge 2.51
Sr1 0.6694 0.7500 0.8179  4 F 2.49-2.51
Sr2 0.3306 0.2500 0.1821  4 F 2.49-2.51
F1 0.2435 0.7500 0.9946  4 Sr 2.49-2.51
F2 0.7565 0.2500 0.0054  4 Sr 2.49-2.51

Calculated values
**Calculated volume**: 22.0 Å³/atom
**Raw formation energy**: -2.13 eV/atom
**Total moment**: 0.0 μB/cell
**Symmetry**: No. 11
**Offset from the most stable computed form**: 53 meV/atom

---

# 2
ScMnSe3 | PBE | optimized geometry

a b c (Å): 6.6096 6.6099 7.0859
angles (deg): 62.19 62.17 59.98
Closest atoms and distances in Å follow each position.
Atoms (fractional coordinates):
Se1 0.9379 0.2343 0.2595  2 Mn 2.56-2.61, 2 Sc 2.70-2.71
Se2 0.5684 0.9381 0.2594  2 Mn 2.56-2.61, 2 Sc 2.70-2.71
Se3 0.7659 0.4315 0.7406  2 Mn 2.56-2.61, 2 Sc 2.70-2.71
Se4 0.0621 0.7657 0.7405  2 Mn 2.56-2.61, 2 Sc 2.70-2.71
Se5 0.4316 0.0619 0.7406  2 Mn 2.56-2.61, 2 Sc 2.70-2.71
Se6 0.2341 0.5685 0.2594  2 Mn 2.56-2.61, 2 Sc 2.70-2.71
Sc1 0.3433 0.3434 0.9699  6 Se 2.70-2.71
Sc2 0.6567 0.6566 0.0301  6 Se 2.70-2.71
Mn1 0.1595 0.1593 0.5218  6 Se 2.56-2.61
Mn2 0.8405 0.8407 0.4782  6 Se 2.56-2.61

Calculated values
**Calculated volume**: 22.6 Å³/atom
**Raw formation energy**: -1.00 eV/atom
**Total moment**: 8.0 μB/cell
**Symmetry**: No. 148
**Offset from the most stable computed form**: 0 meV/atom

---

# 3
RbNa2HfTl | PBE | optimized geometry

a b c (Å): 5.8741 6.5304 5.8741
angles (deg): 90.00 90.00 90.00
Closest atoms and distances in Å follow each position.
Atoms (fractional coordinates):
Na1 0.0000 0.0000 0.5000  2 Tl 2.94
Na2 0.5000 0.0000 0.0000  2 Tl 2.94
Tl1 0.0000 0.0000 0.0000  4 Na 2.94, 2 Rb 3.27
Rb1 0.0000 0.5000 0.0000  2 Tl 3.27
Hf1 0.5000 0.5000 0.5000  4 Rb 4.15, 8 Na 4.39

Calculated values
**Calculated volume**: 45.1 Å³/atom
**Total moment**: 2.0 μB/cell
**Symmetry**: No. 123
**Formation energy**: 1.1201 eV per atom

---

# 4
Mg2ScHg | PBE | optimized geometry

a b c (Å): 9.8511 9.8511 9.8511
angles (deg): 19.60 19.60 19.60
Closest atoms and distances in Å follow each position.
Atoms (fractional coordinates):
Mg1 0.4946 0.4946 0.4946  3 Hg 2.97, 3 Sc 3.22
Mg2 0.0054 0.0054 0.0054  3 Hg 2.97, 3 Sc 3.22
Sc1 0.2500 0.2500 0.2500  6 Mg 3.22, 6 Sc 3.35
Hg1 0.7500 0.7500 0.7500  6 Mg 2.97

Calculated values
**Calculated volume**: 23.5 Å³/atom
**Total moment**: 0.0 μB/cell
**Symmetry**: No. 166
**Formation energy**: -0.0509 eV per atom

---

# 5
Zr2Pt | PBE | optimized geometry

a b c (Å): 13.6779 13.6779 13.6779
angles (deg): 167.32 167.32 17.97
Closest atoms and distances in Å follow each position.
Atoms (fractional coordinates):
Zr1 0.1771 0.6771 0.5000  4 Pt 2.91, 6 Zr 3.02-3.19
Zr2 0.4271 0.4271 0.0000  4 Pt 2.91, 6 Zr 3.02-3.19
Zr3 0.5729 0.5729 0.0000  4 Pt 2.91, 6 Zr 3.02-3.19
Zr4 0.3229 0.8229 0.5000  4 Pt 2.91, 6 Zr 3.02-3.19
Pt1 0.7500 0.2500 0.5000  8 Zr 2.91, 4 Pt 3.02
Pt2 0.0000 0.0000 0.0000  8 Zr 2.91, 4 Pt 3.02

Calculated values
**Calculated volume**: 20.5 Å³/atom
**Total moment**: 0.0 μB/cell
**Symmetry**: No. 141
**Formation energy**: -0.4289 eV per atom

---

# 6
BMo3Rh | PBE | optimized geometry

a b c (Å): 4.1604 4.1604 4.1604
angles (deg): 90.00 90.00 90.00
Closest atoms and distances in Å follow each position.
Atoms (fractional coordinates):
Mo1 0.5000 0.0000 0.0000  2 B 2.08
Mo2 0.0000 0.0000 0.5000  2 B 2.08
Mo3 0.0000 0.5000 0.0000  2 B 2.08
Rh1 0.5000 0.5000 0.5000  12 Mo 2.94
B1 0.0000 0.0000 0.0000  6 Mo 2.08

Calculated values
**Calculated volume**: 14.4 Å³/atom
**Total moment**: 0.0 μB/cell
**Symmetry**: No. 221
**Formation energy**: 0.1377 eV per atom
**Offset from the most stable computed form**: 0 meV/atom

---

# 7
NaCrSi2As | PBE | optimized geometry

a b c (Å): 4.5316 4.7718 4.5316
angles (deg): 90.00 90.00 90.00
Closest atoms and distances in Å follow each position.
Atoms (fractional coordinates):
Si1 0.5000 0.0000 0.0000  2 Cr 2.27
Si2 0.0000 0.0000 0.5000  2 Cr 2.27
As1 0.0000 0.5000 0.0000  2 Cr 2.39
Na1 0.5000 0.5000 0.5000  4 As 3.20, 8 Si 3.29
Cr1 0.0000 0.0000 0.0000  4 Si 2.27, 2 As 2.39

Calculated values
**Calculated volume**: 19.6 Å³/atom
**Raw formation energy**: 0.20 eV/atom
**Total moment**: 0.0 μB/cell
**Symmetry**: No. 123

---

One value per record, in order, for uncorrected energy: -14.57 -30.94 -10.32 -10.03 -24.42 -45.83 -25.43 eV per formula unit.